# 1
# PBE Mg2BeAgPb, optimized geometry
# E_tot ... -2.4593 eV/atom
# Volume ... 107.3 Å³ per cell
# Formation energy from the elements ... 0.236 eV/atom
data_Mg2BeAgPb
_cell_length_a 4.847
_cell_length_b 4.847
_cell_length_c 4.568
_cell_angle_alpha 90.00
_cell_angle_beta 90.00
_cell_angle_gamma 90.00
_symmetry_space_group_name_H-M 'P 4/m m m'
_symmetry_Int_Tables_number 123
_symmetry_space_group_name_Hall '-P 4 2'
loop_
_atom_site_label
_atom_site_type_symbol
_atom_site_fract_x
_atom_site_fract_y
_atom_site_fract_z
_atom_site_occupancy
Mg1 Mg 0.000 0.500 0.000 1
Be1 Be 0.000 0.000 0.000 1
Ag1 Ag 0.000 0.000 0.500 1
Pb1 Pb 0.500 0.500 0.500 1

# 2
# PBE PrDy12Th2, optimized geometry
# E_tot ... -4.8742 eV/atom
# Volume ... 1938.0 Å³ per cell
# Formation energy from the elements ... 0.115 eV/atom
data_PrDy12Th2
_cell_length_a 7.088
_cell_length_b 11.160
_cell_length_c 24.566
_cell_angle_alpha 90.00
_cell_angle_beta 94.21
_cell_angle_gamma 90.00
_symmetry_space_group_name_H-M 'C 1 2/m 1'
_symmetry_Int_Tables_number 12
loop_
_symmetry_equiv_pos_as_xyz
'x,y,z'
'-x,-y,-z'
'-x,y,-z'
'x,-y,z'
'x+1/2,y+1/2,z'
'-x+1/2,-y+1/2,-z'
'-x+1/2,y+1/2,-z'
'x+1/2,-y+1/2,z'
loop_
_atom_site_label
_atom_site_type_symbol
_atom_site_fract_x
_atom_site_fract_y
_atom_site_fract_z
_atom_site_occupancy
Pr1 Pr 0.250 0.000 0.000 1
Dy1 Dy 0.019 0.250 0.075 1
Dy2 Dy 0.112 0.242 0.445 1
Dy3 Dy 0.141 0.500 0.583 1
Dy4 Dy 0.153 0.000 0.570 1
Dy5 Dy 0.168 0.245 0.669 1
Dy6 Dy 0.199 0.249 0.797 1
Dy7 Dy 0.215 0.000 0.862 1
Dy8 Dy 0.216 0.500 0.862 1
Th1 Th 0.063 0.500 0.271 1
Th2 Th 0.073 0.000 0.272 1

# 3
# PBE BaBi2SbO8, optimized geometry
# E_form (uncorrected) ... -1.271 eV per atom
# E_tot ... -5.7271 eV/atom
# Volume ... 193.1 Å³ per cell
data_BaBi2SbO8
_cell_length_a 5.052
_cell_length_b 7.566
_cell_length_c 5.052
_cell_angle_alpha 90.00
_cell_angle_beta 91.51
_cell_angle_gamma 90.00
_symmetry_space_group_name_H-M 'P 1 2/m 1'
_symmetry_Int_Tables_number 10
loop_
_symmetry_equiv_pos_as_xyz
'x,y,z'
'-x,-y,-z'
'-x,y,-z'
'x,-y,z'
loop_
_atom_site_label
_atom_site_type_symbol
_atom_site_fract_x
_atom_site_fract_y
_atom_site_fract_z
_atom_site_occupancy
Ba1 Ba 0.000 0.000 0.000 1
Bi1 Bi 0.500 0.276 0.500 1
Sb1 Sb 0.000 0.500 0.000 1
O1 O 0.179 0.302 0.196 1
O2 O 0.300 0.500 0.716 1
O3 O 0.386 0.000 0.673 1

# 4
# PBE Ti2H2Ru, optimized geometry
# Offset from the most stable computed form ... 43.2 kJ/mol of atoms
# E_tot ... -6.4590 eV/atom
# Volume ... 104.5 Å³ per cell
data_Ti2H2Ru
_cell_length_a 5.942
_cell_length_b 5.942
_cell_length_c 2.961
_cell_angle_alpha 90.00
_cell_angle_beta 90.00
_cell_angle_gamma 90.00
_symmetry_space_group_name_H-M 'P 4/m b m'
_symmetry_Int_Tables_number 127
_symmetry_space_group_name_Hall '-P 4 2ab'
loop_
_atom_site_label
_atom_site_type_symbol
_atom_site_fract_x
_atom_site_fract_y
_atom_site_fract_z
_atom_site_occupancy
Ti1 Ti 0.180 0.320 0.000 1
H1 H 0.137 0.637 0.500 1
Ru1 Ru 0.000 0.000 0.500 1